SnHgBrCl | GGA-PBE | optimized geometry

Computed properties:
- Space group: No. 1

```
data_SnHgBrCl
_chemical_formula_sum 'Sn1 Hg1 Br1 Cl1'
_symmetry_space_group_name_H-M 'P 1'
_symmetry_Int_Tables_number 1
_symmetry_space_group_name_Hall 'P 1'
_cell_length_a 4.3165
_cell_length_b 5.8502
_cell_length_c 6.2168
_cell_angle_alpha 65.70
_cell_angle_beta 89.97
_cell_angle_gamma 89.83
loop_
_atom_site_label
_atom_site_fract_x
_atom_site_fract_y
_atom_site_fract_z
Sn1 0.0000 0.0000 0.0000
Hg1 0.4997 0.4223 0.7643
Br1 0.0011 0.9168 0.6058
Cl1 0.5023 0.6868 0.1735
```

SnHgBr2Cl | GGA-PBE | optimized geometry

Computed properties:
- Space group: No. 123

```
data_SnHgBr2Cl
_chemical_formula_sum 'Sn1 Hg1 Br2 Cl1'
_symmetry_space_group_name_H-M 'P 1'
_symmetry_Int_Tables_number 1
_symmetry_space_group_name_Hall 'P 1'
_cell_length_a 5.6423
_cell_length_b 5.6423
_cell_length_c 5.3110
_cell_angle_alpha 90.00
_cell_angle_beta 90.00
_cell_angle_gamma 90.00
loop_
_atom_site_label
_atom_site_fract_x
_atom_site_fract_y
_atom_site_fract_z
Sn1 0.0000 0.0000 0.0000
Hg1 0.5000 0.5000 0.5000
Br1 0.0000 0.5000 0.0000
Br2 0.5000 0.0000 0.0000
Cl1 0.0000 0.0000 0.5000
```

SrHgBrCl2 | GGA-PBE | optimized geometry

Computed properties:
- Space group: No. 123

```
data_SrHgBrCl2
_chemical_formula_sum 'Sr1 Hg1 Br1 Cl2'
_symmetry_space_group_name_H-M 'P 1'
_symmetry_Int_Tables_number 1
_symmetry_space_group_name_Hall 'P 1'
_cell_length_a 6.3483
_cell_length_b 6.3483
_cell_length_c 5.0002
_cell_angle_alpha 90.00
_cell_angle_beta 90.00
_cell_angle_gamma 90.00
loop_
_atom_site_label
_atom_site_fract_x
_atom_site_fract_y
_atom_site_fract_z
Sr1 0.0000 0.0000 0.0000
Hg1 0.5000 0.5000 0.0000
Br1 0.5000 0.5000 0.5000
Cl1 0.0000 0.5000 0.5000
Cl2 0.5000 0.0000 0.5000
```

Sr3HgBr6Cl2 | GGA-PBE | optimized geometry

Computed properties:
- Space group: No. 12

```
data_Sr3HgBr6Cl2
_chemical_formula_sum 'Sr3 Hg1 Br6 Cl2'
_symmetry_space_group_name_H-M 'P 1'
_symmetry_Int_Tables_number 1
_symmetry_space_group_name_Hall 'P 1'
_cell_length_a 8.6117
_cell_length_b 8.6117
_cell_length_c 6.6468
_cell_angle_alpha 93.60
_cell_angle_beta 93.60
_cell_angle_gamma 61.85
loop_
_atom_site_label
_atom_site_fract_x
_atom_site_fract_y
_atom_site_fract_z
Sr1 0.0000 0.0000 0.0000
Sr2 0.0000 0.5000 0.5000
Sr3 0.5000 0.0000 0.5000
Hg1 0.5000 0.5000 0.5000
Br1 0.1698 0.6581 0.2458
Br2 0.3419 0.8302 0.7542
Br3 0.3553 0.3553 0.7390
Br4 0.6447 0.6447 0.2610
Br5 0.6581 0.1698 0.2458
Br6 0.8302 0.3419 0.7542
Cl1 0.1675 0.1675 0.2661
Cl2 0.8325 0.8325 0.7339
```

Hg2TeBrCl | GGA-PBE | optimized geometry

Computed properties:
- Space group: No. 123

```
data_Hg2TeBrCl
_chemical_formula_sum 'Hg2 Te1 Br1 Cl1'
_symmetry_space_group_name_H-M 'P 1'
_symmetry_Int_Tables_number 1
_symmetry_space_group_name_Hall 'P 1'
_cell_length_a 5.9422
_cell_length_b 5.9422
_cell_length_c 5.2873
_cell_angle_alpha 90.00
_cell_angle_beta 90.00
_cell_angle_gamma 90.00
loop_
_atom_site_label
_atom_site_fract_x
_atom_site_fract_y
_atom_site_fract_z
Hg1 0.0000 0.5000 0.0000
Hg2 0.5000 0.0000 0.0000
Te1 0.0000 0.0000 0.5000
Br1 0.5000 0.5000 0.5000
Cl1 0.0000 0.0000 0.0000
```

TlHgBr2Cl | GGA-PBE | optimized geometry

Computed properties:
- Space group: No. 123

```
data_TlHgBr2Cl
_chemical_formula_sum 'Tl1 Hg1 Br2 Cl1'
_symmetry_space_group_name_H-M 'P 1'
_symmetry_Int_Tables_number 1
_symmetry_space_group_name_Hall 'P 1'
_cell_length_a 5.6064
_cell_length_b 5.6064
_cell_length_c 5.3037
_cell_angle_alpha 90.00
_cell_angle_beta 90.00
_cell_angle_gamma 90.00
loop_
_atom_site_label
_atom_site_fract_x
_atom_site_fract_y
_atom_site_fract_z
Tl1 0.0000 0.0000 0.0000
Hg1 0.5000 0.5000 0.5000
Br1 0.0000 0.5000 0.5000
Br2 0.5000 0.0000 0.5000
Cl1 0.5000 0.5000 0.0000
```

Tl2HgBr2Cl2 | GGA-PBE | optimized geometry

Computed properties:
- Space group: No. 12

```
data_Tl2HgBr2Cl2
_chemical_formula_sum 'Tl2 Hg1 Br2 Cl2'
_symmetry_space_group_name_H-M 'P 1'
_symmetry_Int_Tables_number 1
_symmetry_space_group_name_Hall 'P 1'
_cell_length_a 8.1981
_cell_length_b 8.1981
_cell_length_c 7.8538
_cell_angle_alpha 118.13
_cell_angle_beta 118.13
_cell_angle_gamma 30.22
loop_
_atom_site_label
_atom_site_fract_x
_atom_site_fract_y
_atom_site_fract_z
Tl1 0.1506 0.1506 0.1069
Tl2 0.8494 0.8494 0.8931
Hg1 0.0000 0.0000 0.5000
Br1 0.4780 0.4780 0.7270
Br2 0.5220 0.5220 0.2730
Cl1 0.1899 0.1899 0.7468
Cl2 0.8101 0.8101 0.2532
```

TlHgBrCl | GGA-PBE | optimized geometry

Computed properties:
- Space group: No. 216

```
data_TlHgBrCl
_chemical_formula_sum 'Tl1 Hg1 Br1 Cl1'
_symmetry_space_group_name_H-M 'P 1'
_symmetry_Int_Tables_number 1
_symmetry_space_group_name_Hall 'P 1'
_cell_length_a 5.4462
_cell_length_b 5.4462
_cell_length_c 5.4462
_cell_angle_alpha 60.00
_cell_angle_beta 60.00
_cell_angle_gamma 60.00
loop_
_atom_site_label
_atom_site_fract_x
_atom_site_fract_y
_atom_site_fract_z
Tl1 0.0000 0.0000 0.0000
Hg1 0.5000 0.5000 0.5000
Br1 0.2500 0.2500 0.2500
Cl1 0.7500 0.7500 0.7500
```

It is found that the uncorrected formation energy values, taken in the order of the records, are -0.5964, -0.4863, -0.5477, -1.7464, 0.3450, -0.5808, -0.7421, -0.4500 eV per atom.
It is found that the density of states at the Fermi level values, taken in the order of the records, are 0.0, 5.0, 0.6, 0.0, 6.0, 0.7, 0.0, 3.4 states/eV per cell.